Record 1
MnCrI2N: optimized geometry, GGA-PBE.

Output
Raw formation energy: 0.894 eV per atom

a b c (Å): 5.530 5.530 3.604
angles (deg): 90.00 90.00 90.00
Fractional positions:
Mn1 0.000 0.000 0.000
Cr1 0.500 0.500 0.500
I1 0.000 0.500 0.500
I2 0.500 0.000 0.500
N1 0.500 0.500 0.000

Record 2
MnCrI2N: optimized geometry, GGA-PBE.

Output
Raw formation energy: 0.469 eV per atom

a b c (Å): 5.673 5.673 3.602
angles (deg): 90.00 90.00 90.00
Fractional positions:
Mn1 0.000 0.000 0.000
Cr1 0.500 0.500 0.500
I1 0.000 0.500 0.000
I2 0.500 0.000 0.000
N1 0.000 0.000 0.500

Record 3
MnCrIN2: optimized geometry, GGA-PBE.

Output
Raw formation energy: 0.777 eV per atom

a b c (Å): 3.774 3.774 5.577
angles (deg): 90.00 90.00 90.00
Fractional positions:
Mn1 0.000 0.000 0.000
Cr1 0.500 0.500 0.500
I1 0.500 0.500 0.000
N1 0.000 0.500 0.500
N2 0.500 0.000 0.500

Record 4
MnCrIN2: optimized geometry, GGA-PBE.

Output
Raw formation energy: 0.909 eV per atom

a b c (Å): 3.732 3.732 5.612
angles (deg): 90.00 90.00 90.00
Fractional positions:
Mn1 0.000 0.000 0.000
Cr1 0.500 0.500 0.500
I1 0.000 0.000 0.500
N1 0.000 0.500 0.000
N2 0.500 0.000 0.000

What did the third record say?
MnCrIN2: optimized geometry, GGA-PBE.

Output
Raw formation energy: 0.777 eV per atom

a b c (Å): 3.774 3.774 5.577
angles (deg): 90.00 90.00 90.00
Fractional positions:
Mn1 0.000 0.000 0.000
Cr1 0.500 0.500 0.500
I1 0.500 0.500 0.000
N1 0.000 0.500 0.500
N2 0.500 0.000 0.500